[1]
This record from Alexandria describes a geometry-optimized Li2CoMo structure. The functional is PBEsol.

## Properties
Energy above the most stable polymorph in this dataset ... 0 meV/atom
ΔE_f ... 0.306 eV/atom

a b c (Å): 2.5675 3.6518 5.7640
angles (deg): 90.00 90.00 90.00
Closest atoms and distances in Å follow each position.
Sites, in units of the cell vectors:
Li (0.0000, 0.0000, 0.0000)  6 Li 2.57-2.62, 1 Mo 2.62, 4 Co 2.75
Li (0.5000, 0.5000, 0.2383)  6 Li 2.57-2.62, 1 Co 2.78, 4 Mo 2.85
Co (0.5000, 0.5000, 0.7204)  4 Mo 2.45, 2 Co 2.57
Mo (0.0000, 0.0000, 0.5455)  4 Co 2.45, 2 Mo 2.57, 1 Li 2.62

---

[2]
This record from Alexandria describes a geometry-optimized LiCoMo2N structure. The functional is PBEsol.

## Properties
Total energy ... -6.3089 eV per atom

a b c (Å): 4.2126 4.2126 3.3129
angles (deg): 90.00 90.00 90.00
Closest atoms and distances in Å follow each position.
Sites, in units of the cell vectors:
Li (0.0000, 0.0000, 0.0000)  2 Co 1.66
Co (0.0000, 0.0000, 0.5000)  2 Li 1.66
Mo (0.0000, 0.5000, 0.0000)  2 Li 2.11
Mo (0.5000, 0.0000, 0.0000)  2 Li 2.11
N (0.5000, 0.5000, 0.5000)  8 Mo 2.68, 4 Co 2.98

---

[3]
This record from Alexandria describes a geometry-optimized LiCoN structure. The functional is PBEsol.

## Properties
Total energy ... -6.2526 eV per atom

a b c (Å): 3.0880 3.0880 4.0445
angles (deg): 90.00 90.00 120.00
Closest atoms and distances in Å follow each position.
Sites, in units of the cell vectors:
Li (0.0000, 0.0000, 0.0000)  2 N 2.02
Co (0.3333, 0.6667, 0.5000)  3 N 1.78
N (0.0000, 0.0000, 0.5000)  3 Co 1.78

---

[4]
This record from Alexandria describes a geometry-optimized LiCoN structure. The functional is PBEsol.

## Properties
Total energy ... -6.4534 eV per atom

a b c (Å): 9.8681 2.8059 4.1256
angles (deg): 90.00 90.00 90.00
Closest atoms and distances in Å follow each position.
Sites, in units of the cell vectors:
Li (0.0523, 0.2500, 0.2130)  3 N 2.01-2.02
Li (0.4477, 0.7500, 0.7130)  3 N 2.01-2.02
Li (0.5523, 0.2500, 0.2870)  3 N 2.01-2.02
Li (0.9477, 0.7500, 0.7870)  3 N 2.01-2.02
Co (0.2169, 0.2500, 0.7294)  3 N 1.80-1.84
Co (0.2831, 0.7500, 0.2294)  3 N 1.80-1.84
Co (0.7169, 0.2500, 0.7706)  3 N 1.80-1.84
Co (0.7831, 0.7500, 0.2706)  3 N 1.80-1.84
N (0.1424, 0.7500, 0.9369)  3 Co 1.80-1.84, 2 Li 2.01
N (0.3576, 0.2500, 0.4369)  3 Co 1.80-1.84, 2 Li 2.01
N (0.6424, 0.7500, 0.5631)  3 Co 1.80-1.84, 2 Li 2.01
N (0.8576, 0.2500, 0.0631)  3 Co 1.80-1.84, 2 Li 2.01

---

[5]
This record from Alexandria describes a geometry-optimized Li2CoN2 structure. The functional is PBEsol.

## Properties
Total energy ... -6.1321 eV per atom

a b c (Å): 4.6857 4.6857 3.4248
angles (deg): 90.00 90.00 90.00
Closest atoms and distances in Å follow each position.
Sites, in units of the cell vectors:
Li (0.1790, 0.3210, 0.0000)  6 N 2.21, 5 Li 2.37-2.44, 4 Co 2.43
Li (0.3210, 0.8210, 0.0000)  6 N 2.21, 5 Li 2.37-2.44, 4 Co 2.43
Li (0.6790, 0.1790, 0.0000)  6 N 2.21, 5 Li 2.37-2.44, 4 Co 2.43
Li (0.8210, 0.6790, 0.0000)  6 N 2.21, 5 Li 2.37-2.44, 4 Co 2.43
Co (0.0000, 0.0000, 0.5000)  4 N 1.90
Co (0.5000, 0.5000, 0.5000)  4 N 1.90
N (0.1094, 0.6094, 0.5000)  1 N 1.45
N (0.3906, 0.1094, 0.5000)  1 N 1.45
N (0.6094, 0.8906, 0.5000)  1 N 1.45
N (0.8906, 0.3906, 0.5000)  1 N 1.45

---

[6]
This record from Alexandria describes a geometry-optimized LiCoNi2N structure. The functional is PBEsol.

## Properties
Total energy ... -6.2915 eV per atom

a b c (Å): 3.7214 3.7214 3.5833
angles (deg): 90.00 90.00 90.00
Closest atoms and distances in Å follow each position.
Sites, in units of the cell vectors:
Li (0.0000, 0.0000, 0.0000)  8 Ni 2.58, 4 Co 2.63
Co (0.5000, 0.5000, 0.0000)  2 N 1.79
Ni (0.0000, 0.5000, 0.5000)  2 N 1.86
Ni (0.5000, 0.0000, 0.5000)  2 N 1.86
N (0.5000, 0.5000, 0.5000)  2 Co 1.79, 4 Ni 1.86

---

[7]
This record from Alexandria describes a geometry-optimized LiCoNO2 structure. The functional is PBEsol.

## Properties
Total energy ... -5.9329 eV per atom

a b c (Å): 3.7629 3.7629 3.4165
angles (deg): 90.00 90.00 90.00
Closest atoms and distances in Å follow each position.
Sites, in units of the cell vectors:
Li (0.0000, 0.0000, 0.0000)  8 O 2.54, 4 N 2.66
Co (0.5000, 0.5000, 0.5000)  2 N 1.71, 4 O 1.88
N (0.5000, 0.5000, 0.0000)  2 Co 1.71
O (0.0000, 0.5000, 0.5000)  2 Co 1.88
O (0.5000, 0.0000, 0.5000)  2 Co 1.88

---

[8]
This record from Alexandria describes a geometry-optimized Sr2LiCoN2 structure. The functional is PBEsol.

## Properties
Total energy ... -5.6694 eV per atom

a b c (Å): 5.3276 5.3276 7.2639
angles (deg): 90.00 90.00 90.00
Closest atoms and distances in Å follow each position.
Sites, in units of the cell vectors:
Sr (0.0000, 0.5000, 0.2500)  4 N 2.62
Sr (0.0000, 0.5000, 0.7500)  4 N 2.62
Sr (0.5000, 0.0000, 0.2500)  4 N 2.62
Sr (0.5000, 0.0000, 0.7500)  4 N 2.62
Li (0.0000, 0.0000, 0.0000)  2 N 2.00
Li (0.5000, 0.5000, 0.5000)  2 N 2.00
Co (0.0000, 0.0000, 0.5000)  2 N 1.77
Co (0.5000, 0.5000, 0.0000)  2 N 1.77
N (0.2350, 0.2350, 0.5000)  1 Co 1.77
N (0.2650, 0.7350, 0.0000)  1 Co 1.77
N (0.7350, 0.2650, 0.0000)  1 Co 1.77
N (0.7650, 0.7650, 0.5000)  1 Co 1.77

---

[9]
This record from Alexandria describes a geometry-optimized LiCoTe2N structure. The functional is PBEsol.

## Properties
Total energy ... -4.0402 eV per atom

a b c (Å): 4.9399 4.9399 3.3059
angles (deg): 90.00 90.00 90.00
Closest atoms and distances in Å follow each position.
Sites, in units of the cell vectors:
Li (0.0000, 0.0000, 0.0000)  2 N 1.65
Co (0.5000, 0.5000, 0.5000)  8 Te 2.97, 2 Co 3.31
Te (0.0000, 0.5000, 0.0000)  2 Li 2.47
Te (0.5000, 0.0000, 0.0000)  2 Li 2.47
N (0.0000, 0.0000, 0.5000)  2 Li 1.65

---

[10]
This record from Alexandria describes a geometry-optimized Na2Li2Co structure. The functional is PBEsol.

## Properties
ΔE_f ... 0.538 eV/atom

a b c (Å): 6.5189 6.5189 4.9924
angles (deg): 90.00 90.00 90.00
Closest atoms and distances in Å follow each position.
Sites, in units of the cell vectors:
Na (0.1880, 0.3120, 0.0000)  2 Li 2.92
Na (0.3120, 0.8120, 0.0000)  2 Li 2.92
Na (0.6880, 0.1880, 0.0000)  2 Li 2.92
Na (0.8120, 0.6880, 0.0000)  2 Li 2.92
Li (0.1472, 0.6472, 0.5000)  2 Co 2.49, 1 Li 2.71
Li (0.3528, 0.1472, 0.5000)  2 Co 2.49, 1 Li 2.71
Li (0.6472, 0.8528, 0.5000)  2 Co 2.49, 1 Li 2.71
Li (0.8528, 0.3528, 0.5000)  2 Co 2.49, 1 Li 2.71
Co (0.0000, 0.0000, 0.5000)  4 Li 2.49
Co (0.5000, 0.5000, 0.5000)  4 Li 2.49

---

[11]
This record from Alexandria describes a geometry-optimized NaLi2Co structure. The functional is PBEsol.

## Properties
ΔE_f ... 0.572 eV/atom

a b c (Å): 4.5653 4.5653 4.5653
angles (deg): 60.00 60.00 60.00
Closest atoms and distances in Å follow each position.
Sites, in units of the cell vectors:
Na (0.0000, 0.0000, 0.0000)  8 Li 2.80
Li (0.2500, 0.2500, 0.2500)  4 Co 2.80, 4 Na 2.80
Li (0.7500, 0.7500, 0.7500)  4 Co 2.80, 4 Na 2.80
Co (0.5000, 0.5000, 0.5000)  8 Li 2.80